Entry 1:
A relaxed structure of NbZnNi. Source: Alexandria, functional PBE.

Cell and atoms, written as CIF:
```
data_NbZnNi
_cell_length_a 10.0424
_cell_length_b 2.7399
_cell_length_c 7.3244
_cell_angle_alpha 90.00
_cell_angle_beta 120.70
_cell_angle_gamma 90.00
_symmetry_space_group_name_H-M 'C 1 2/m 1'
_symmetry_Int_Tables_number 12
_symmetry_space_group_name_Hall '-C 2y'
loop_
_atom_site_label
_atom_site_type_symbol
_atom_site_fract_x
_atom_site_fract_y
_atom_site_fract_z
Nb1 Nb 0.0890 0.0000 0.3292
Zn1 Zn 0.1497 0.5000 0.0315
Ni1 Ni 0.1393 0.5000 0.6629
```

Values from the calculation:
Formation energy from the elements: -11.1 kJ/mol of atoms
M_tot: 0.00 μB/cell

Entry 2:
A relaxed structure of Ho2TmNi. Source: Alexandria, functional PBE.

Cell and atoms, written as CIF:
```
data_Ho2TmNi
_cell_length_a 3.4257
_cell_length_b 3.4257
_cell_length_c 8.5100
_cell_angle_alpha 90.00
_cell_angle_beta 90.00
_cell_angle_gamma 90.00
_symmetry_space_group_name_H-M 'P 4/m m m'
_symmetry_Int_Tables_number 123
_symmetry_space_group_name_Hall '-P 4 2'
loop_
_atom_site_label
_atom_site_type_symbol
_atom_site_fract_x
_atom_site_fract_y
_atom_site_fract_z
Ho1 Ho 0.0000 0.0000 0.1896
Tm1 Tm 0.5000 0.5000 0.5000
Ni1 Ni 0.5000 0.5000 0.0000
```

Values from the calculation:
Formation energy from the elements: -16.0 kJ/mol of atoms
M_tot: 0.00 μB/cell

Entry 3:
A relaxed structure of Hf2BTe. Source: Alexandria, functional PBE.

Cell and atoms, written as CIF:
```
data_Hf2BTe
_cell_length_a 6.6461
_cell_length_b 6.6461
_cell_length_c 6.6461
_cell_angle_alpha 90.00
_cell_angle_beta 90.00
_cell_angle_gamma 90.00
_symmetry_space_group_name_H-M 'F m -3 m'
_symmetry_Int_Tables_number 225
_symmetry_space_group_name_Hall '-F 4 2 3'
loop_
_atom_site_label
_atom_site_type_symbol
_atom_site_fract_x
_atom_site_fract_y
_atom_site_fract_z
Hf1 Hf 0.2500 0.2500 0.2500
B1 B 0.0000 0.0000 0.0000
Te1 Te 0.0000 0.0000 0.5000
```

Values from the calculation:
M_tot: 0.00 μB/cell
E_form (uncorrected): 0.271 eV per atom

Entry 4:
A relaxed structure of K2ZrFe. Source: Alexandria, functional PBE.

Cell and atoms, written as CIF:
```
data_K2ZrFe
_cell_length_a 4.1751
_cell_length_b 4.1751
_cell_length_c 12.7047
_cell_angle_alpha 90.00
_cell_angle_beta 90.00
_cell_angle_gamma 90.00
_symmetry_space_group_name_H-M 'I 4/m m m'
_symmetry_Int_Tables_number 139
_symmetry_space_group_name_Hall '-I 4 2'
loop_
_atom_site_label
_atom_site_type_symbol
_atom_site_fract_x
_atom_site_fract_y
_atom_site_fract_z
K1 K 0.0000 0.5000 0.2500
Zr1 Zr 0.0000 0.0000 0.0000
Fe1 Fe 0.0000 0.0000 0.5000
```

Values from the calculation:
Formation energy from the elements: 106.8 kJ/mol of atoms
M_tot: 1.61 μB/cell

Entry 5:
A relaxed structure of RbLaCd2Co. Source: Alexandria, functional PBE.

Cell and atoms, written as CIF:
```
data_RbLaCd2Co
_cell_length_a 5.4074
_cell_length_b 5.4074
_cell_length_c 4.9230
_cell_angle_alpha 90.00
_cell_angle_beta 90.00
_cell_angle_gamma 90.00
_symmetry_space_group_name_H-M 'P 4/m m m'
_symmetry_Int_Tables_number 123
_symmetry_space_group_name_Hall '-P 4 2'
loop_
_atom_site_label
_atom_site_type_symbol
_atom_site_fract_x
_atom_site_fract_y
_atom_site_fract_z
Rb1 Rb 0.0000 0.0000 0.0000
La1 La 0.5000 0.5000 0.0000
Cd1 Cd 0.0000 0.5000 0.5000
Co1 Co 0.5000 0.5000 0.5000
```

Values from the calculation:
Formation energy from the elements: -4.3 kJ/mol of atoms
M_tot: 0.00 μB/cell

Entry 6:
A relaxed structure of Na2Cd2Pb. Source: Alexandria, functional PBE.

Cell and atoms, written as CIF:
```
data_Na2Cd2Pb
_cell_length_a 4.0412
_cell_length_b 4.0412
_cell_length_c 18.2662
_cell_angle_alpha 90.00
_cell_angle_beta 90.00
_cell_angle_gamma 90.00
_symmetry_space_group_name_H-M 'I 4/m m m'
_symmetry_Int_Tables_number 139
_symmetry_space_group_name_Hall '-I 4 2'
loop_
_atom_site_label
_atom_site_type_symbol
_atom_site_fract_x
_atom_site_fract_y
_atom_site_fract_z
Na1 Na 0.0000 0.0000 0.1004
Cd1 Cd 0.0000 0.5000 0.2500
Pb1 Pb 0.0000 0.0000 0.5000
```

Values from the calculation:
Formation energy from the elements: 0.4 kJ/mol of atoms
M_tot: 0.00 μB/cell

Entry 7:
A relaxed structure of CrMo4W4. Source: Alexandria, functional PBE.

Cell and atoms, written as CIF:
```
data_CrMo4W4
_cell_length_a 4.4486
_cell_length_b 9.4454
_cell_length_c 13.3728
_cell_angle_alpha 90.00
_cell_angle_beta 90.00
_cell_angle_gamma 90.00
_symmetry_space_group_name_H-M 'F m m m'
_symmetry_Int_Tables_number 69
_symmetry_space_group_name_Hall '-F 2 2'
loop_
_atom_site_label
_atom_site_type_symbol
_atom_site_fract_x
_atom_site_fract_y
_atom_site_fract_z
Cr1 Cr 0.0000 0.0000 0.0000
Mo1 Mo 0.0000 0.1661 0.1648
W1 W 0.0000 0.0000 0.3337
W2 W 0.0000 0.1646 0.5000
```

Values from the calculation:
Formation energy from the elements: 2.1 kJ/mol of atoms
M_tot: 0.00 μB/cell

Entry 8:
A relaxed structure of TiCuNiBr2. Source: Alexandria, functional PBE.

Cell and atoms, written as CIF:
```
data_TiCuNiBr2
_cell_length_a 4.8727
_cell_length_b 4.8727
_cell_length_c 4.5755
_cell_angle_alpha 90.00
_cell_angle_beta 90.00
_cell_angle_gamma 90.00
_symmetry_space_group_name_H-M 'P 4/m m m'
_symmetry_Int_Tables_number 123
_symmetry_space_group_name_Hall '-P 4 2'
loop_
_atom_site_label
_atom_site_type_symbol
_atom_site_fract_x
_atom_site_fract_y
_atom_site_fract_z
Ti1 Ti 0.0000 0.0000 0.0000
Cu1 Cu 0.5000 0.5000 0.5000
Ni1 Ni 0.5000 0.5000 0.0000
Br1 Br 0.0000 0.5000 0.5000
```

Values from the calculation:
M_tot: 1.76 μB/cell
E_form (uncorrected): 0.690 eV per atom

Entry 9:
A relaxed structure of NdEuRh4. Source: Alexandria, functional PBE.

Cell and atoms, written as CIF:
```
data_NdEuRh4
_cell_length_a 7.6572
_cell_length_b 7.6572
_cell_length_c 7.6572
_cell_angle_alpha 90.00
_cell_angle_beta 90.00
_cell_angle_gamma 90.00
_symmetry_space_group_name_H-M 'F -4 3 m'
_symmetry_Int_Tables_number 216
_symmetry_space_group_name_Hall 'F -4 2 3'
loop_
_atom_site_label
_atom_site_type_symbol
_atom_site_fract_x
_atom_site_fract_y
_atom_site_fract_z
Nd1 Nd 0.0000 0.0000 0.0000
Eu1 Eu 0.2500 0.2500 0.7500
Rh1 Rh 0.1250 0.1250 0.3750
```

Values from the calculation:
Formation energy from the elements: -54.2 kJ/mol of atoms
M_tot: 27.11 μB/cell

Entry 10:
A relaxed structure of CrCd3Se. Source: Alexandria, functional PBE.

Cell and atoms, written as CIF:
```
data_CrCd3Se
_cell_length_a 5.2766
_cell_length_b 5.2766
_cell_length_c 5.2766
_cell_angle_alpha 90.00
_cell_angle_beta 90.00
_cell_angle_gamma 90.00
_symmetry_space_group_name_H-M 'P m -3 m'
_symmetry_Int_Tables_number 221
_symmetry_space_group_name_Hall '-P 4 2 3'
loop_
_atom_site_label
_atom_site_type_symbol
_atom_site_fract_x
_atom_site_fract_y
_atom_site_fract_z
Cr1 Cr 0.0000 0.0000 0.0000
Cd1 Cd 0.0000 0.0000 0.5000
Se1 Se 0.5000 0.5000 0.5000
```

Values from the calculation:
M_tot: 4.10 μB/cell
E_form (uncorrected): 0.674 eV per atom

Entry 11:
A relaxed structure of CaDyTl4. Source: Alexandria, functional PBE.

Cell and atoms, written as CIF:
```
data_CaDyTl4
_cell_length_a 8.8934
_cell_length_b 8.8934
_cell_length_c 8.8934
_cell_angle_alpha 90.00
_cell_angle_beta 90.00
_cell_angle_gamma 90.00
_symmetry_space_group_name_H-M 'F -4 3 m'
_symmetry_Int_Tables_number 216
_symmetry_space_group_name_Hall 'F -4 2 3'
loop_
_atom_site_label
_atom_site_type_symbol
_atom_site_fract_x
_atom_site_fract_y
_atom_site_fract_z
Ca1 Ca 0.0000 0.0000 0.0000
Dy1 Dy 0.2500 0.2500 0.2500
Tl1 Tl 0.1247 0.1247 0.6247
```

Values from the calculation:
Formation energy from the elements: -6.6 kJ/mol of atoms
M_tot: 0.00 μB/cell

Entry 12:
A relaxed structure of MgBTeI2. Source: Alexandria, functional PBE.

Cell and atoms, written as CIF:
```
data_MgBTeI2
_cell_length_a 5.6572
_cell_length_b 5.6572
_cell_length_c 5.5652
_cell_angle_alpha 90.00
_cell_angle_beta 90.00
_cell_angle_gamma 90.00
_symmetry_space_group_name_H-M 'P 4/m m m'
_symmetry_Int_Tables_number 123
_symmetry_space_group_name_Hall '-P 4 2'
loop_
_atom_site_label
_atom_site_type_symbol
_atom_site_fract_x
_atom_site_fract_y
_atom_site_fract_z
Mg1 Mg 0.0000 0.0000 0.0000
B1 B 0.5000 0.5000 0.5000
Te1 Te 0.0000 0.0000 0.5000
I1 I 0.0000 0.5000 0.0000
```

Values from the calculation:
M_tot: 0.00 μB/cell
E_form (uncorrected): 0.786 eV per atom

Question: Which of these has the highest M_tot?
Answer: NdEuRh4

Question: What is the M_tot in the sixth record?
Answer: 0.00 μB/cell